(1)
VASP calculation (PBE) on a geometry-optimized HgTeF6 structure.

Computed properties:
total moment	0.00	μB per formula unit
excess energy over the best structure of this formula in the dataset	0.000	eV per atom
DOS(E_F)	0.00	states/eV/cell

a b c (Å): 5.5883 5.5883 10.6618
angles (deg): 90.00 90.00 120.00
Space group P-31c (No. 163)
Symmetry-distinct sites (fractional):
Hg  0.3333  0.6667  0.2500
Te  0.0000  0.0000  0.0000
F  0.0268  0.3144  0.1149


(2)
VASP calculation (PBE) on a geometry-optimized HgTeF structure.

Computed properties:
total moment	0.00	μB per formula unit
excess energy over the best structure of this formula in the dataset	0.130	eV per atom
DOS(E_F)	4.00	states/eV/cell

a b c (Å): 16.720 4.323 4.310
angles (deg): 90.00 90.00 90.00
Space group Pnma (No. 62)
Symmetry-distinct sites (fractional):
Hg  0.039  0.250  0.249
Te  0.231  0.250  0.242
F  0.147  0.750  0.742


(3)
VASP calculation (PBE) on a geometry-optimized Hg3TeF structure.

Computed properties:
total moment	0.00	μB per formula unit
DOS(E_F)	3.05	states/eV/cell
uncorrected energy	-0.09657	Ry per atom

a b c (Å): 5.054 5.054 5.054
angles (deg): 90.00 90.00 90.00
Space group Pm-3m (No. 221)
Symmetry-distinct sites (fractional):
Hg  0.000  0.000  0.500
Te  0.500  0.500  0.500
F  0.000  0.000  0.000


(4)
VASP calculation (PBE) on a geometry-optimized HgTe3F structure.

Computed properties:
total moment	0.00	μB per formula unit
excess energy over the best structure of this formula in the dataset	0.454	eV per atom
DOS(E_F)	6.21	states/eV/cell

a b c (Å): 5.550 5.550 5.550
angles (deg): 90.00 90.00 90.00
Space group Pm-3m (No. 221)
Symmetry-distinct sites (fractional):
Hg  0.000  0.000  0.000
Te  0.000  0.000  0.500
F  0.500  0.500  0.500


(5)
VASP calculation (PBE) on a geometry-optimized Hg2TeF structure.

Computed properties:
total moment	0.00	μB per formula unit
excess energy over the best structure of this formula in the dataset	0.132	eV per atom
DOS(E_F)	5.90	states/eV/cell

a b c (Å): 4.6266 4.6266 22.0028
angles (deg): 90.00 90.00 120.00
Space group R-3m (No. 166, hexagonal axes)
Symmetry-distinct sites (fractional):
Hg  0.0000  0.0000  0.1028
Te  0.0000  0.0000  0.5000
F  0.0000  0.0000  0.0000


(6)
VASP calculation (PBE) on a geometry-optimized Hg2TeF structure.

Computed properties:
total moment	0.00	μB per formula unit
excess energy over the best structure of this formula in the dataset	0.073	eV per atom
DOS(E_F)	0.20	states/eV/cell

a b c (Å): 4.746 5.100 5.114
angles (deg): 70.44 77.19 74.31
Space group P1 (No. 1)
Symmetry-distinct sites (fractional):
Hg  0.000  0.000  0.000
Hg  0.432  0.652  0.704
Te  0.017  0.488  0.486
F  0.526  0.229  0.139


(7)
VASP calculation (PBE) on a geometry-optimized HgTe2F structure.

Computed properties:
total moment	0.00	μB per formula unit
excess energy over the best structure of this formula in the dataset	0.142	eV per atom
DOS(E_F)	9.11	states/eV/cell

a b c (Å): 7.091 7.091 7.091
angles (deg): 90.00 90.00 90.00
Space group Fm-3m (No. 225)
Symmetry-distinct sites (fractional):
Hg  0.000  0.000  0.000
Te  0.250  0.250  0.250
F  0.000  0.000  0.500


(8)
VASP calculation (PBE) on a geometry-optimized Hg3TeF structure.

Computed properties:
total moment	0.00	μB per formula unit
DOS(E_F)	2.70	states/eV/cell
uncorrected energy	-0.09647	Ry per atom

a b c (Å): 5.775 5.775 5.775
angles (deg): 90.00 90.00 90.00
Space group Pm-3m (No. 221)
Symmetry-distinct sites (fractional):
Hg  0.000  0.000  0.500
Te  0.000  0.000  0.000
F  0.500  0.500  0.500


Q: Among the records above, which one has the highest DOS(E_F)?
A: HgTe2F


Q: DOS(E_F) of number 8 (Hg3TeF)?
A: 2.70 states/eV/cell


Please write out number 6 again, unchanged.
VASP calculation (PBE) on a geometry-optimized Hg2TeF structure.

Computed properties:
total moment	0.00	μB per formula unit
excess energy over the best structure of this formula in the dataset	0.073	eV per atom
DOS(E_F)	0.20	states/eV/cell

a b c (Å): 4.746 5.100 5.114
angles (deg): 70.44 77.19 74.31
Space group P1 (No. 1)
Symmetry-distinct sites (fractional):
Hg  0.000  0.000  0.000
Hg  0.432  0.652  0.704
Te  0.017  0.488  0.486
F  0.526  0.229  0.139


Q: Look up the total moment of the seventh one.
A: 0.00 μB per formula unit